Entry from Alexandria: an optimized crystal structure of Li7Mn2Co3O12 (PBE+U).

```
Li7Mn2Co3O12
1.0
5.816 0.000 0.000
0.000 2.885 0.000
-2.762 0.000 12.473
Li Mn Co O
7 2 3 12
Cartesian
0.000 0.000 0.000
-1.347 1.443 6.268
-1.334 1.443 10.375
0.109 0.000 8.102
1.591 1.443 6.281
3.047 0.000 4.445
4.440 1.443 2.258
2.904 0.000 0.181
3.045 0.000 8.280
0.065 0.000 4.303
1.478 1.443 2.248
1.572 1.443 10.462
-1.459 1.443 8.358
0.201 0.000 2.335
0.140 0.000 6.073
1.544 1.443 0.286
1.384 1.443 4.148
0.127 0.000 10.754
2.795 0.000 2.158
1.694 1.443 8.349
4.236 1.443 0.226
3.027 0.000 6.438
2.985 0.000 10.343
4.632 1.443 4.227
```

Calculated values
energy above the most stable polymorph in this dataset = 45 meV per atom
size of the total moment = 10.05 Bohr magnetons per cell
calculated density = 4.18 g cm⁻³